--- i ---
{"formula": "Nd6Sm2Ho", "functional": "GGA-PBE", "state": "optimized geometry", "crystal_system": "orthorhombic", "spacegroup": "Cmmm (65)", "total_magnetization_mub_per_atom": 0.0000, "cell": [[-1.6186, -1.9701, -2.6385], [7.7014, -6.5911, 0.1971], [0.3029, -8.2085, 5.9433]], "species": ["Nd", "Nd", "Nd", "Nd", "Nd", "Nd", "Sm", "Sm", "Ho"], "fractional_positions": [[0.0000, 0.5107, 0.1604], [0.0000, 0.8396, 0.4893], [0.0000, 0.4893, 0.8396], [0.5000, 0.6843, 0.3157], [0.0000, 0.1604, 0.5107], [0.5000, 0.3157, 0.6843], [0.5000, 0.1764, 0.1764], [0.5000, 0.8236, 0.8236], [0.0000, 0.0000, 0.0000]]}



--- ii ---
{"formula": "Nd6Sm2Ho", "functional": "GGA-PBE", "state": "optimized geometry", "crystal_system": "tetragonal", "spacegroup": "P4_2/mnm (136)", "total_magnetization_mub_per_atom": 0.0000, "cell": [[8.2961, 0.0000, 0.0000], [0.0000, 8.2961, 0.0000], [0.0000, 0.0000, 10.5730]], "species": ["Nd", "Nd", "Nd", "Nd", "Nd", "Nd", "Nd", "Nd", "Nd", "Nd", "Nd", "Nd", "Sm", "Sm", "Sm", "Sm", "Ho", "Ho"], "fractional_positions": [[0.2620, 0.2620, 0.3331], [0.7380, 0.7380, 0.3331], [0.2380, 0.7620, 0.8331], [0.7620, 0.2380, 0.8331], [0.2380, 0.7620, 0.1669], [0.7620, 0.2380, 0.1669], [0.2620, 0.2620, 0.6669], [0.7380, 0.7380, 0.6669], [0.2614, 0.2614, 0.0000], [0.7386, 0.7386, 0.0000], [0.2386, 0.7614, 0.5000], [0.7614, 0.2386, 0.5000], [0.0000, 0.0000, 0.3319], [0.5000, 0.5000, 0.8319], [0.5000, 0.5000, 0.1681], [0.0000, 0.0000, 0.6681], [0.0000, 0.0000, 0.0000], [0.5000, 0.5000, 0.5000]]}



It is ii that is the least stable of them.



--- i ---
{"formula": "Nd4SmHo2", "functional": "GGA-PBE", "state": "optimized geometry", "crystal_system": "orthorhombic", "spacegroup": "Fdd2 (43)", "total_magnetization_mub_per_atom": 0.0000, "cell": [[-9.8438, 6.4274, 4.5740], [6.5055, -10.7550, -1.0685], [4.8941, 3.6309, 3.1243]], "species": ["Nd", "Nd", "Nd", "Nd", "Nd", "Nd", "Nd", "Nd", "Sm", "Sm", "Ho", "Ho", "Ho", "Ho"], "fractional_positions": [[0.7154, 0.1780, 0.8693], [0.1780, 0.7154, 0.3693], [0.1858, 0.7938, 0.9002], [0.7938, 0.1858, 0.4002], [0.0360, 0.1442, 0.6001], [0.5592, 0.5964, 0.1318], [0.5964, 0.5592, 0.6318], [0.1442, 0.0360, 0.1001], [0.4232, 0.6733, 0.5000], [0.6733, 0.4232, 0.0000], [0.6227, 0.3048, 0.4495], [0.9233, 0.1051, 0.0505], [0.1051, 0.9233, 0.5505], [0.3048, 0.6227, 0.9495]]}



--- ii ---
{"formula": "Nd4SmHo2", "functional": "GGA-PBE", "state": "optimized geometry", "crystal_system": "monoclinic", "spacegroup": "P2_1/m (11)", "total_magnetization_mub_per_atom": 0.0000, "cell": [[-0.0557, 6.1084, -1.2339], [-1.2221, -1.3093, -6.4261], [-11.1450, -2.6809, 2.6658]], "species": ["Nd", "Nd", "Nd", "Nd", "Nd", "Nd", "Nd", "Nd", "Sm", "Sm", "Ho", "Ho", "Ho", "Ho"], "fractional_positions": [[0.6469, 0.5062, 0.2858], [0.0254, 0.7500, 0.8582], [0.9746, 0.2500, 0.1418], [0.6469, 0.9938, 0.2858], [0.8508, 0.2500, 0.5525], [0.3531, 0.0062, 0.7142], [0.3531, 0.4938, 0.7142], [0.1492, 0.7500, 0.4475], [0.1549, 0.7500, 0.1590], [0.8451, 0.2500, 0.8410], [0.6022, 0.7500, 0.9971], [0.3978, 0.2500, 0.0029], [0.2902, 0.2500, 0.4292], [0.7098, 0.7500, 0.5708]]}



It is ii that is the least stable of them.